# 1
{"formula": "Dy3Mg3CdPd2", "functional": "PBE-GGA", "state": "relaxed", "total_energy_ev_per_fu": -34.36, "space_group": "P-62m", "vol_a3_per_cell": 204.95, "cell": [[7.5554, 0.0000, 0.0000], [-3.7777, 6.5432, 0.0000], [0.0000, 0.0000, 4.1457]], "species": ["Dy", "Dy", "Dy", "Mg", "Mg", "Mg", "Cd", "Pd", "Pd"], "frac_coords": [[0.0000, 0.5783, 0.0000], [0.4217, 0.4217, 0.0000], [0.5783, 0.0000, 0.0000], [0.0000, 0.2563, 0.5000], [0.2563, 0.0000, 0.5000], [0.7437, 0.7437, 0.5000], [0.0000, 0.0000, 0.0000], [0.3333, 0.6667, 0.5000], [0.6667, 0.3333, 0.5000]]}

# 2
{"formula": "LiSmTe3Pb", "functional": "PBE-GGA", "state": "relaxed", "de_polymorph_mev_per_atom": 0.0, "space_group": "C2/m", "vol_a3_per_cell": 382.87, "cell": [[9.6171, -2.2010, 0.0000], [9.6171, 2.2010, 0.0000], [-2.1767, 0.0000, 9.0439]], "species": ["Li", "Li", "Sm", "Sm", "Te", "Te", "Te", "Te", "Te", "Te", "Pb", "Pb"], "frac_coords": [[0.0038, 0.0038, 0.1976], [0.9962, 0.9962, 0.8024], [0.3338, 0.3338, 0.9089], [0.6662, 0.6662, 0.0911], [0.0000, 0.0000, 0.5000], [0.1662, 0.1662, 0.8499], [0.1790, 0.1790, 0.3329], [0.5000, 0.5000, 0.0000], [0.8210, 0.8210, 0.6671], [0.8338, 0.8338, 0.1501], [0.3674, 0.3674, 0.4350], [0.6326, 0.6326, 0.5650]]}

# 3
{"formula": "ReSn2O4", "functional": "PBE-GGA", "state": "relaxed", "total_energy_ev_per_fu": -46.63, "space_group": "I4_1/amd", "vol_a3_per_cell": 232.39, "cell": [[-3.4515, 3.4515, 4.8769], [3.4515, -3.4515, 4.8769], [3.4515, 3.4515, -4.8769]], "species": ["Re", "Re", "Sn", "Sn", "Sn", "Sn", "O", "O", "O", "O", "O", "O", "O", "O"], "frac_coords": [[0.3750, 0.6250, 0.7500], [0.6250, 0.3750, 0.2500], [0.0000, 0.0000, 0.0000], [0.0000, 0.0000, 0.5000], [0.0000, 0.5000, 0.0000], [0.5000, 0.0000, 0.5000], [0.2653, 0.2959, 0.5306], [0.2653, 0.7347, 0.5306], [0.2653, 0.7347, 0.9694], [0.2959, 0.2653, 0.0306], [0.7041, 0.7347, 0.9694], [0.7347, 0.2653, 0.0306], [0.7347, 0.2653, 0.4694], [0.7347, 0.7041, 0.4694]]}

# 4
{"formula": "KPrSO", "functional": "PBE-GGA", "state": "relaxed", "de_polymorph_mev_per_atom": 70.2, "space_group": "R3m", "vol_a3_per_cell": 90.39, "cell": [[1.9471, 1.1241, 6.8827], [-1.9471, 1.1241, 6.8827], [0.0000, -2.2483, 6.8827]], "species": ["K", "Pr", "S", "O"], "frac_coords": [[0.0000, 0.0000, 0.0000], [0.5174, 0.5174, 0.5174], [0.7657, 0.7657, 0.7657], [0.2327, 0.2327, 0.2327]]}

# 5
{"formula": "GaPIrO", "functional": "PBE-GGA", "state": "relaxed", "de_polymorph_mev_per_atom": 907.9, "space_group": "P4/nmm", "vol_a3_per_cell": 112.45, "cell": [[4.2529, 0.0000, 0.0000], [0.0000, 4.2529, 0.0000], [0.0000, 0.0000, 6.2171]], "species": ["Ga", "Ga", "P", "P", "Ir", "Ir", "O", "O"], "frac_coords": [[0.2500, 0.7500, 0.0000], [0.7500, 0.2500, 0.0000], [0.2500, 0.2500, 0.1894], [0.7500, 0.7500, 0.8106], [0.2500, 0.2500, 0.5597], [0.7500, 0.7500, 0.4403], [0.2500, 0.7500, 0.5000], [0.7500, 0.2500, 0.5000]]}

# 6
{"formula": "Tb3Cd3InGa2", "functional": "PBE-GGA", "state": "relaxed", "total_energy_ev_per_fu": -29.85, "space_group": "Amm2", "vol_a3_per_cell": 210.34, "cell": [[4.5215, 0.0000, 0.0000], [0.0000, 6.3547, 3.6603], [0.0000, -6.3547, 3.6603]], "species": ["Tb", "Tb", "Tb", "Cd", "Cd", "Cd", "In", "Ga", "Ga"], "frac_coords": [[0.0000, 0.0000, 0.0000], [0.0000, 0.1254, 0.5633], [0.0000, 0.5633, 0.1254], [0.5000, 0.3083, 0.3083], [0.5000, 0.5614, 0.8179], [0.5000, 0.8179, 0.5614], [0.0000, 0.5629, 0.5629], [0.5000, 0.2292, 0.8979], [0.5000, 0.8979, 0.2292]]}

# 7
{"formula": "CdSnGe", "functional": "PBE-GGA", "state": "relaxed", "total_energy_ev_per_fu": -8.92, "space_group": "F-43m", "vol_a3_per_cell": 81.59, "cell": [[0.0000, 3.4425, 3.4425], [3.4425, 0.0000, 3.4425], [3.4425, 3.4425, 0.0000]], "species": ["Cd", "Sn", "Ge"], "frac_coords": [[0.0000, 0.0000, 0.0000], [0.2500, 0.2500, 0.2500], [0.5000, 0.5000, 0.5000]]}

# 8
{"formula": "NaU2F8", "functional": "PBE-GGA", "state": "relaxed", "total_energy_ev_per_fu": -76.05, "space_group": "C2/m", "vol_a3_per_cell": 149.22, "cell": [[5.3983, -3.6041, 0.0000], [5.3983, 3.6041, 0.0000], [-1.3650, 0.0000, 3.8347]], "species": ["Na", "U", "U", "F", "F", "F", "F", "F", "F", "F", "F"], "frac_coords": [[0.0000, 0.0000, 0.0000], [0.3187, 0.3187, 0.5895], [0.6813, 0.6813, 0.4105], [0.0747, 0.6777, 0.6023], [0.2039, 0.2039, 0.9764], [0.3223, 0.9253, 0.3977], [0.4397, 0.4397, 0.1939], [0.5603, 0.5603, 0.8061], [0.6777, 0.0747, 0.6023], [0.7961, 0.7961, 0.0236], [0.9253, 0.3223, 0.3977]]}